(1)
The following is a DFT calculation (PBE) of a relaxed structure of Co2SnGe2.

## Properties
D(E_F) ... 5.59 states/eV per cell
Calculated formation energy ... 78 meV/atom

Lattice parameters (Å, degrees): 7.242 7.242 2.861 90.00 90.00 90.00
Space group P4/mbm (No. 127)
Symmetry-distinct sites (fractional):
Co 0.141 0.359 0.000 [4 per cell]
Sn 0.000 0.000 0.000 [2 per cell]
Ge 0.147 0.647 0.500 [4 per cell]

***

(2)
The following is a DFT calculation (PBE) of a relaxed structure of PuTh2PaP4.

## Properties
D(E_F) ... 12.82 states/eV per cell
Calculated formation energy ... -1405 meV/atom

Lattice parameters (Å, degrees): 7.032 4.070 7.048 90.00 109.51 90.00
Space group P2/m (No. 10)
Symmetry-distinct sites (fractional):
Pu 0.000 0.000 0.000 [1 per cell]
Th 0.500 0.000 0.500 [1 per cell]
Th 0.500 0.500 0.000 [1 per cell]
Pa 0.000 0.500 0.500 [1 per cell]
P 0.237 0.000 0.744 [2 per cell]
P 0.238 0.500 0.248 [2 per cell]

***

(3)
The following is a DFT calculation (PBE) of a relaxed structure of BeCr2Te.

## Properties
Raw formation energy ... 12.91 kcal/mol of atoms
Excess energy over the best structure of this formula in the dataset ... 0.233 eV/atom
D(E_F) ... 11.33 states/eV per cell

Lattice parameters (Å, degrees): 3.3683 3.3683 18.4282 90.00 90.00 120.00
Space group R-3m (No. 166, hexagonal axes)
Symmetry-distinct sites (fractional):
Be 0.0000 0.0000 0.0000 [3 per cell]
Cr 0.0000 0.0000 0.2703 [6 per cell]
Te 0.0000 0.0000 0.5000 [3 per cell]

***

(4)
The following is a DFT calculation (PBE) of a relaxed structure of TcAs2.

## Properties
Excess energy over the best structure of this formula in the dataset ... 0.360 eV/atom
D(E_F) ... 10.17 states/eV per cell
Calculated formation energy ... 169 meV/atom

Lattice parameters (Å, degrees): 3.256 12.498 4.753 90.00 90.00 90.00
Space group Cmcm (No. 63)
Symmetry-distinct sites (fractional):
Tc 0.000 0.110 0.250 [4 per cell]
As 0.000 0.230 0.750 [4 per cell]
As 0.000 0.442 0.250 [4 per cell]